Density functional theory data (PBE+U) for a geometry-optimized Rb2WF5 structure.

* space group: Pnma
* magnetization: 12.00 μB per cell
* VASP energy: -161.6 eV per cell

abc: 6.128 8.118 12.522
angles: 90.00 90.00 90.00
Last column: magnetic moment on the atom in μB.
Atoms (fractional coordinates):
F (0.003, 0.825, 0.391)  0.03
F (0.750, 0.218, 0.405)  0.02
F (0.750, 0.465, 0.702)  0.03
F (0.500, 0.000, 0.000)  0.03
Rb (0.750, 0.857, 0.584)  0.00
Rb (0.250, 0.143, 0.416)  0.00
F (0.250, 0.782, 0.595)  0.02
F (0.250, 0.535, 0.298)  0.03
Rb (0.750, 0.357, 0.916)  0.00
F (0.503, 0.675, 0.891)  0.03
Rb (0.250, 0.002, 0.766)  0.00
F (0.000, 0.000, 0.000)  0.03
W (0.750, 0.834, 0.942)  2.80
Rb (0.750, 0.498, 0.266)  0.00
Rb (0.250, 0.502, 0.734)  0.00
F (0.497, 0.825, 0.391)  0.03
F (0.003, 0.325, 0.109)  0.03
W (0.250, 0.666, 0.442)  2.80
Rb (0.250, 0.643, 0.084)  0.00
F (0.750, 0.965, 0.798)  0.03
F (0.497, 0.325, 0.109)  0.03
F (0.997, 0.675, 0.891)  0.03
F (0.500, 0.500, 0.500)  0.03
F (0.503, 0.175, 0.609)  0.03
F (0.750, 0.718, 0.095)  0.02
F (0.997, 0.175, 0.609)  0.03
F (0.250, 0.035, 0.202)  0.03
Rb (0.750, 0.998, 0.234)  0.00
W (0.250, 0.166, 0.058)  2.80
F (0.000, 0.500, 0.500)  0.03
F (0.250, 0.282, 0.905)  0.02
W (0.750, 0.334, 0.558)  2.80